MnNi2F: optimized geometry, GGA+U.

Distance to the lowest polymorph of the same formula (meV per atom): 581.4
Electronic total energy (eV/atom): -3.018

Geometry as POSCAR:
```
MnNi2F
1.0
3.895 1.393 0.536
0.833 2.754 3.020
2.194 -1.176 3.348
Ni Mn F
2 1 1
Cartesian
1.730 0.743 1.726 Ni
5.191 2.229 5.178 Ni
3.461 1.486 3.452 Mn
0.000 0.000 0.000 F
```